Entry from Alexandria via LeMat-Bulk: crystalline Sc6Cd5Sn at its relaxed geometry (PBE).

```
12
Lattice="2.510 -7.545 0.000 2.510 7.545 0.000 0.000 0.000 7.027" Properties=species:S:1:pos:R:3 pbc="T T T"
Sc 0.000 0.000 1.744
Sc 0.000 0.000 5.283
Sc 2.510 2.513 1.776
Sc 2.510 2.513 5.251
Sc 2.510 -2.513 1.776
Sc 2.510 -2.513 5.251
Cd 2.510 5.045 3.514
Cd 2.510 4.919 0.000
Cd 2.510 0.000 3.514
Cd 2.510 -4.919 0.000
Cd 2.510 -5.045 3.514
Sn 2.510 0.000 0.000
```

Summary:
As for the formation energy from the elements: -0.356 eV per atom.


Entry from Alexandria via LeMat-Bulk: crystalline LaCoP2 at its relaxed geometry (PBE).

```
4
Lattice="1.965 -3.048 0.000 1.965 3.048 0.000 0.000 0.000 6.473" Properties=species:S:1:pos:R:3 pbc="T T T"
La 0.000 0.000 0.000
Co 0.000 0.000 3.236
P 1.965 0.000 2.083
P 1.965 0.000 4.390
```

Summary:
As for the formation energy from the elements: -0.476 eV per atom. The offset from the most stable computed form is 445 meV/atom.


Entry from Alexandria via LeMat-Bulk: crystalline LiPrMg2 at its relaxed geometry (PBE).

```
8
Lattice="5.378 0.000 0.000 0.000 5.080 0.000 -0.724 0.000 7.435" Properties=species:S:1:pos:R:3 pbc="T T T"
Li 0.456 1.270 0.833
Li 4.198 3.810 6.602
Pr -0.186 1.270 4.957
Pr 4.840 3.810 2.479
Mg 2.063 3.810 0.377
Mg 2.181 3.810 4.666
Mg 2.473 1.270 2.769
Mg 2.591 1.270 7.058
```

Summary:
As for the formation energy from the elements: -0.005 eV per atom. The offset from the most stable computed form is 70 meV/atom.


Entry from Alexandria via LeMat-Bulk: crystalline KSnHgBr2 at its relaxed geometry (PBE).

```
5
Lattice="5.949 0.000 0.000 0.000 5.949 0.000 0.000 0.000 5.761" Properties=species:S:1:pos:R:3 pbc="T T T"
K 0.000 0.000 0.000
Sn 2.975 2.975 2.881
Hg 2.975 2.975 0.000
Br 0.000 2.975 2.881
Br 2.975 0.000 2.881
```

Summary:
The calculation puts the formation energy without anion corrections at -67.34 kJ/mol of atoms.


Entry from Alexandria via LeMat-Bulk: crystalline La6TbPm5 at its relaxed geometry (PBE).

```
12
Lattice="-2.626 5.152 7.875 2.626 -5.152 7.875 2.626 5.152 -7.875" Properties=species:S:1:pos:R:3 pbc="T T T"
La 2.626 2.569 -2.620
La 0.000 2.563 0.000
La 2.626 2.569 2.620
La 0.000 2.582 5.255
La 0.000 7.741 0.000
La 0.000 2.582 10.495
Tb 2.626 0.000 0.000
Pm 0.000 0.000 2.616
Pm 2.626 0.000 5.251
Pm 0.000 0.000 7.875
Pm 0.000 5.152 2.625
Pm 0.000 0.000 13.134
```

Summary:
As for the formation energy from the elements: 0.018 eV per atom. The offset from the most stable computed form is 2 meV/atom.


| no. | theoretical density (g cm⁻³) |
| --- | --- |
| 1 | 5.9 |
| 2 | 5.6 |
| 3 | 3.2 |
| 4 | 4.2 |
| 5 | 6.7 |